Density functional theory data (GGA+U) for an optimized crystal structure of ScFeTeO6.

a = 4.775 Å, b = 4.775 Å, c = 9.189 Å
α = 90.00°, β = 90.00°, γ = 90.00°
Space group P4_2nm (No. 102)
Unique sites:
Sc1 0.000 0.000 0.000 (multiplicity 2)
Fe1 0.000 0.000 0.669 (multiplicity 2)
Te1 0.000 0.000 0.336 (multiplicity 2)
O1 0.183 0.183 0.504 (multiplicity 4)
O2 0.193 0.193 0.182 (multiplicity 4)
O3 0.205 0.205 0.835 (multiplicity 4)

Computed properties:
As for the calculated total energy: -6.74 eV/atom. As for the magnetic moment: 6.02 μB/cell.